Record 1
Material: SrMgTa
Method: DFT, PBEsol
State: relaxed

ρ	4.78	g cm⁻³
raw total energy	-10.33	eV/cell
calculated formation energy	1.925	eV per atom

Unit cell a=5.2404 b=5.2404 c=5.2404 alpha=60.00 beta=60.00 gamma=60.00
Atoms (fractional coordinates):
Sr 0.0000 0.0000 0.0000
Mg 0.2500 0.2500 0.2500
Ta 0.7500 0.7500 0.7500

***

Record 2
Material: SrMg3Tc
Method: DFT, PBEsol
State: relaxed

ρ	3.26	g cm⁻³
raw total energy	-16.34	eV/cell
calculated formation energy	0.383	eV per atom

Unit cell a=5.0854 b=5.0854 c=5.0854 alpha=90.00 beta=90.00 gamma=90.00
Atoms (fractional coordinates):
Sr 0.0000 0.0000 0.0000
Mg 0.0000 0.5000 0.5000
Mg 0.5000 0.0000 0.5000
Mg 0.5000 0.5000 0.0000
Tc 0.5000 0.5000 0.5000